[1]
Sc3AuS: optimized geometry, GGA-PBE.

Summary:
VASP energy: -6.30 eV per atom
Space-group type: C2/c, No. 15
Total magnetization: 0.00 μB/f.u.

a = 6.635 Å, b = 6.635 Å, c = 6.479 Å
α = 117.77°, β = 117.77°, γ = 62.20°
Atoms (fractional coordinates):
Sc 0.160 0.840 0.750
Sc 0.220 0.358 0.862
Sc 0.358 0.220 0.362
Sc 0.642 0.780 0.638
Sc 0.780 0.642 0.138
Sc 0.840 0.160 0.250
Au 0.234 0.766 0.250
Au 0.766 0.234 0.750
S 0.000 0.500 0.500
S 0.500 0.000 0.000

[2]
ScSnAuSe2S: optimized geometry, GGA-PBE.

Summary:
VASP energy: -4.88 eV per atom
Space-group type: Cmcm, No. 63
Total magnetization: 0.00 μB/f.u.

a = 6.967 Å, b = 6.967 Å, c = 10.136 Å
α = 90.00°, β = 90.00°, γ = 147.14°
Atoms (fractional coordinates):
Sc 0.000 0.000 0.000
Sc 0.000 0.000 0.500
Sn 0.256 0.744 0.750
Sn 0.744 0.256 0.250
Au 0.461 0.539 0.250
Au 0.539 0.461 0.750
Se 0.356 0.644 0.040
Se 0.356 0.644 0.460
Se 0.644 0.356 0.540
Se 0.644 0.356 0.960
S 0.086 0.914 0.250
S 0.914 0.086 0.750

[3]
ScSnAuS3: optimized geometry, GGA-PBE.

Summary:
VASP energy: -5.14 eV per atom
Space-group type: C2/m, No. 12
Total magnetization: 0.00 μB/f.u.

a = 8.719 Å, b = 8.719 Å, c = 8.149 Å
α = 102.37°, β = 102.37°, γ = 24.83°
Atoms (fractional coordinates):
Sc 0.165 0.165 0.091
Sc 0.835 0.835 0.909
Sn 0.133 0.133 0.588
Sn 0.867 0.867 0.412
Au 0.458 0.458 0.776
Au 0.542 0.542 0.224
S 0.000 0.000 0.000
S 0.309 0.309 0.682
S 0.324 0.324 0.131
S 0.500 0.500 0.500
S 0.676 0.676 0.869
S 0.691 0.691 0.318

[4]
ScSnAuS3: optimized geometry, GGA-PBE.

Summary:
VASP energy: -5.27 eV per atom
Space-group type: Pnma, No. 62
Total magnetization: 0.00 μB/f.u.

a = 10.057 Å, b = 3.853 Å, c = 14.125 Å
α = 90.00°, β = 90.00°, γ = 90.00°
Atoms (fractional coordinates):
Sc 0.015 0.250 0.243
Sc 0.485 0.750 0.743
Sc 0.515 0.250 0.257
Sc 0.985 0.750 0.757
Sn 0.247 0.750 0.435
Sn 0.253 0.250 0.935
Sn 0.747 0.750 0.065
Sn 0.753 0.250 0.565
Au 0.240 0.250 0.595
Au 0.260 0.750 0.095
Au 0.740 0.250 0.905
Au 0.760 0.750 0.405
S 0.013 0.250 0.632
S 0.029 0.750 0.121
S 0.239 0.750 0.802
S 0.261 0.250 0.302
S 0.471 0.250 0.621
S 0.487 0.750 0.132
S 0.513 0.250 0.868
S 0.529 0.750 0.379
S 0.739 0.750 0.698
S 0.761 0.250 0.198
S 0.971 0.250 0.879
S 0.987 0.750 0.368

[5]
ScSnAuS3: optimized geometry, GGA-PBE.

Summary:
VASP energy: -5.16 eV per atom
Space-group type: P2_1/m, No. 11
Total magnetization: 0.00 μB/f.u.

a = 7.587 Å, b = 3.833 Å, c = 9.447 Å
α = 90.00°, β = 108.22°, γ = 90.00°
Atoms (fractional coordinates):
Sc 0.192 0.250 0.158
Sc 0.808 0.750 0.842
Sn 0.212 0.750 0.708
Sn 0.788 0.250 0.292
Au 0.366 0.750 0.411
Au 0.634 0.250 0.589
S 0.068 0.250 0.874
S 0.170 0.250 0.455
S 0.423 0.750 0.170
S 0.577 0.250 0.830
S 0.830 0.750 0.545
S 0.932 0.750 0.126

[6]
ScSnAuS3: optimized geometry, GGA-PBE.

Summary:
VASP energy: -5.22 eV per atom
Space-group type: Pnma, No. 62
Total magnetization: 0.00 μB/f.u.

a = 11.386 Å, b = 3.775 Å, c = 12.744 Å
α = 90.00°, β = 90.00°, γ = 90.00°
Atoms (fractional coordinates):
Sc 0.032 0.250 0.141
Sc 0.468 0.750 0.641
Sc 0.532 0.250 0.359
Sc 0.968 0.750 0.859
Sn 0.140 0.250 0.566
Sn 0.360 0.750 0.066
Sn 0.640 0.250 0.934
Sn 0.860 0.750 0.434
Au 0.211 0.750 0.377
Au 0.289 0.250 0.877
Au 0.711 0.750 0.123
Au 0.789 0.250 0.623
S 0.031 0.750 0.285
S 0.098 0.250 0.942
S 0.244 0.750 0.673
S 0.256 0.250 0.173
S 0.402 0.750 0.442
S 0.469 0.250 0.785
S 0.531 0.750 0.215
S 0.598 0.250 0.558
S 0.744 0.750 0.827
S 0.756 0.250 0.327
S 0.902 0.750 0.058
S 0.969 0.250 0.715